i.
# CaNdSm3, optimized geometry, DFT PBE-GGA
data_CaNdSm3
_chemical_formula_sum 'Ca4 Nd4 Sm12'
_cell_length_a 5.505
_cell_length_b 11.453
_cell_length_c 11.413
_cell_angle_alpha 90.00
_cell_angle_beta 90.00
_cell_angle_gamma 90.00
_space_group_name_H-M_alt 'C m m m'
_space_group_IT_number 65
_space_group_name_Hall '-C 2 2'
loop_
_atom_site_label
_atom_site_type_symbol
_atom_site_fract_x
_atom_site_fract_y
_atom_site_fract_z
Ca1 Ca 0.000 0.156 0.000
Nd1 Nd 0.000 0.363 0.500
Sm1 Sm 0.000 0.153 0.305
Sm2 Sm 0.000 0.500 0.185
# - calculated density (g/cm³) = 5.9
# - DOS at the Fermi energy (states/eV/f.u.) = 8.1


ii.
# CaNdSm3, optimized geometry, DFT PBE-GGA
data_CaNdSm3
_chemical_formula_sum 'Ca6 Nd6 Sm18'
_cell_length_a 6.1646
_cell_length_b 6.1646
_cell_length_c 35.8275
_cell_angle_alpha 90.00
_cell_angle_beta 90.00
_cell_angle_gamma 120.00
_space_group_name_H-M_alt 'R -3'
_space_group_IT_number 148
_space_group_name_Hall '-R 3'
loop_
_atom_site_label
_atom_site_type_symbol
_atom_site_fract_x
_atom_site_fract_y
_atom_site_fract_z
Ca1 Ca 0.0000 0.0000 0.1662
Nd1 Nd 0.0000 0.0000 0.3336
Sm1 Sm 0.0001 0.3356 0.2530
# - calculated density (g/cm³) = 5.4
# - DOS at the Fermi energy (states/eV/f.u.) = 8.1


Ranking the structures above by stability puts i first and ii last.